Material: Co3W
Method: DFT, GGA-PBE
State: relaxed

Geometry as extended XYZ:
```
4
Lattice="4.502 0.000 0.000 0.000 4.502 0.000 0.000 0.000 4.502" Properties=species:S:1:pos:R:3 pbc="T T T"
Co 0.000 0.000 2.251
Co 0.000 2.251 0.000
Co 2.251 0.000 0.000
W 0.000 0.000 0.000
```

## Properties
ΔE_f, meV per atom: 2195